Entry 1:
An optimized crystal structure of LiTc2Rh, computed with PBE.

Output
As for the energy above the most stable polymorph in this dataset: 0.00 eV/f.u. The calculation puts the total magnetization at 0.0 μB per cell. The density of states at the Fermi level is 0.727 states/eV per atom. The formation energy comes out at 0.04 eV per atom.

Lattice parameters (Å, degrees): 3.077 4.079 8.644 90.00 90.00 90.00
Space group Immm (No. 71)
Inequivalent atoms, fractional coordinates:
Li (0.000, 0.000, 0.000) [2 per cell]
Tc (0.000, 0.500, 0.255) [4 per cell]
Rh (0.000, 0.000, 0.500) [2 per cell]

=====

Entry 2:
An optimized crystal structure of LiTc3Rh, computed with PBE.

Output
As for the energy above the most stable polymorph in this dataset: 3.47 eV/f.u. The calculation puts the total magnetization at 2.2 μB per cell. The density of states at the Fermi level is 1.362 states/eV per atom. The formation energy comes out at 1.74 eV per atom.

Lattice parameters (Å, degrees): 4.701 4.701 4.701 90.00 90.00 90.00
Space group Pm-3m (No. 221)
Inequivalent atoms, fractional coordinates:
Li (0.000, 0.000, 0.000) [1 per cell]
Tc (0.000, 0.500, 0.500) [3 per cell]
Rh (0.500, 0.500, 0.500) [1 per cell]

=====

Entry 3:
An optimized crystal structure of Li2TcRh, computed with PBE.

Output
As for the energy above the most stable polymorph in this dataset: 0.21 eV/f.u. The calculation puts the total magnetization at 1.0 μB per cell. The density of states at the Fermi level is 1.114 states/eV per atom. The formation energy comes out at 0.08 eV per atom.

Lattice parameters (Å, degrees): 2.726 4.482 9.194 90.00 90.00 90.00
Space group Cmmm (No. 65)
Inequivalent atoms, fractional coordinates:
Li (0.000, 0.000, 0.240) [4 per cell]
Tc (0.000, 0.500, 0.500) [2 per cell]
Rh (0.000, 0.500, 0.000) [2 per cell]

=====

Entry 4:
An optimized crystal structure of LiTcRh2, computed with PBE.

Output
As for the energy above the most stable polymorph in this dataset: 0.24 eV/f.u. The calculation puts the total magnetization at 0.0 μB per cell. The density of states at the Fermi level is 1.792 states/eV per atom. The formation energy comes out at -0.05 eV per atom.

Lattice parameters (Å, degrees): 2.7535 2.7535 26.0160 90.00 90.00 120.00
Space group R-3m (No. 166, hexagonal axes)
Inequivalent atoms, fractional coordinates:
Li (0.0000, 0.0000, 0.0000) [3 per cell]
Tc (0.0000, 0.0000, 0.5000) [3 per cell]
Rh (0.0000, 0.0000, 0.2482) [6 per cell]

=====

Entry 5:
An optimized crystal structure of LiTc2Rh, computed with PBE.

Output
As for the energy above the most stable polymorph in this dataset: 1.56 eV/f.u. The calculation puts the total magnetization at 0.0 μB per cell. The density of states at the Fermi level is 2.041 states/eV per atom. The formation energy comes out at 0.43 eV per atom.

Lattice parameters (Å, degrees): 6.050 6.050 6.050 90.00 90.00 90.00
Space group Fm-3m (No. 225)
Inequivalent atoms, fractional coordinates:
Li (0.000, 0.000, 0.000) [4 per cell]
Tc (0.250, 0.250, 0.250) [8 per cell]
Rh (0.000, 0.000, 0.500) [4 per cell]

=====

Entry 6:
An optimized crystal structure of LiTc2Rh, computed with PBE.

Output
As for the energy above the most stable polymorph in this dataset: 0.22 eV/f.u. The calculation puts the total magnetization at 0.0 μB per cell. The density of states at the Fermi level is 0.863 states/eV per atom. The formation energy comes out at 0.10 eV per atom.

Lattice parameters (Å, degrees): 8.505 2.688 4.900 90.00 94.03 90.00
Space group Cm (No. 8)
Inequivalent atoms, fractional coordinates:
Li (0.000, 0.000, 0.000) [2 per cell]
Tc (0.248, 0.000, 0.737) [2 per cell]
Tc (0.484, 0.000, 0.501) [2 per cell]
Rh (0.248, 0.500, 0.213) [2 per cell]

=====

Question: Which of these has the highest energy above the most stable polymorph in this dataset?
Answer: LiTc3Rh

=====

Question: Which value of energy above the most stable polymorph in this dataset does entry 3 give?
Answer: 0.21 eV/f.u.